Mn2Tl3F7 | PBE with a Hubbard U | relaxed

## Properties
Total DFT energy (no corrections): -5.174 eV/atom

Cell and atoms, written as CIF:
```
data_Mn2Tl3F7
_chemical_formula_sum 'Mn2 Tl3 F7'
_cell_length_a 4.301
_cell_length_b 4.301
_cell_length_c 11.744
_cell_angle_alpha 100.55
_cell_angle_beta 100.55
_cell_angle_gamma 90.00
_space_group_name_H-M_alt 'P 1'
_space_group_IT_number 1
loop_
_space_group_symop_operation_xyz
'x,y,z'
loop_
_atom_site_label
_atom_site_type_symbol
_atom_site_fract_x
_atom_site_fract_y
_atom_site_fract_z
Mn1 Mn 0.096 0.096 0.192
Mn2 Mn 0.904 0.904 0.808
Tl1 Tl 0.312 0.312 0.624
Tl2 Tl 0.688 0.688 0.376
Tl3 Tl 0.500 0.500 0.000
F1 F 0.000 0.000 0.000
F2 F 0.905 0.405 0.809
F3 F 0.405 0.905 0.809
F4 F 0.095 0.595 0.191
F5 F 0.595 0.095 0.191
F6 F 0.190 0.190 0.380
F7 F 0.810 0.810 0.620
```